Entry 1:
Material: TlSbAuI2
Method: DFT, GGA-PBE
State: optimized geometry

As for the symmetry: P4/mmm, No. 123. The polymorph energy (0 for the lowest one) is 0.000 eV per atom. Its formation energy from raw total energies is 99 meV per atom.

a = 5.924 Å, b = 5.924 Å, c = 5.363 Å
α = 90.00°, β = 90.00°, γ = 90.00°
Fractional coordinates of all 5 atoms:
Tl 0.000 0.000 0.000
Sb 0.500 0.500 0.000
Au 0.500 0.500 0.500
I 0.000 0.500 0.500
I 0.500 0.000 0.500



Entry 2:
Material: BeInAs2
Method: DFT, GGA-PBE
State: optimized geometry

As for the symmetry: Pmmm, No. 47. For the formation energy, the calculation gives 0.544 eV per atom.

a = 3.679 Å, b = 4.431 Å, c = 4.677 Å
α = 90.00°, β = 90.00°, γ = 90.00°
Fractional coordinates of all 4 atoms:
Be 0.000 0.000 0.000
In 0.500 0.000 0.500
As 0.000 0.500 0.500
As 0.500 0.500 0.000



Entry 3:
Material: Pr2NdPbC
Method: DFT, GGA-PBE
State: optimized geometry

As for the symmetry: P4/mmm, No. 123. For the formation energy, the calculation gives -0.380 eV per atom.

a = 5.183 Å, b = 5.183 Å, c = 5.141 Å
α = 90.00°, β = 90.00°, γ = 90.00°
Fractional coordinates of all 5 atoms:
Pr 0.000 0.500 0.000
Pr 0.500 0.000 0.000
Nd 0.000 0.000 0.500
Pb 0.500 0.500 0.500
C 0.000 0.000 0.000



Entry 4:
Material: BeZn3Hg
Method: DFT, GGA-PBE
State: optimized geometry

As for the symmetry: Pm-3m, No. 221. The polymorph energy (0 for the lowest one) is 0.659 eV per atom. For the formation energy, the calculation gives 0.923 eV per atom.

a = 5.025 Å, b = 5.025 Å, c = 5.025 Å
α = 90.00°, β = 90.00°, γ = 90.00°
Fractional coordinates of all 5 atoms:
Be 0.000 0.000 0.000
Zn 0.000 0.500 0.500
Zn 0.500 0.000 0.500
Zn 0.500 0.500 0.000
Hg 0.500 0.500 0.500



In order of appearance, DFT total energy = -12.37; -13.59; -29.16; -3.24 eV for the cell shown.
In order of appearance, volume = 188.19; 76.23; 138.12; 126.88 Å³ per cell.